Crystalline LaTb3Pm2Te6 at its relaxed geometry. Source: Alexandria, functional GGA-PBE.

Lattice parameters (Å, degrees): 4.414 8.937 9.944 103.63 102.82 90.00
Fractional positions:
La  0.500  0.000  0.000
Tb  0.500  0.500  0.000
Tb  0.835  0.168  0.669
Tb  0.165  0.832  0.331
Pm  0.832  0.665  0.665
Pm  0.168  0.335  0.335
Te  0.329  0.920  0.658
Te  0.665  0.588  0.329
Te  0.671  0.080  0.342
Te  0.999  0.260  0.999
Te  0.001  0.740  0.001
Te  0.335  0.412  0.671

Results
Magnetization, μB per cell: 0.00
Uncorrected formation energy, meV per atom: -1393
DOS(E_F), states/eV per cell: 6.5
Volume, Å³/f.u.: 371
Calculated density, g/cm³: 7.48

=====

Crystalline Al2MoSe at its relaxed geometry. Source: Alexandria, functional GGA-PBE.

Lattice parameters (Å, degrees): 3.373 3.373 5.654 90.00 90.00 90.00
Fractional positions:
Mo  0.500  0.500  0.250
Al  0.000  0.000  0.020
Al  0.000  0.000  0.480
Se  0.500  0.500  0.750

Results
Magnetization, μB per cell: 0.00
Uncorrected formation energy, meV per atom: -89
DOS(E_F), states/eV per cell: 1.9
Volume, Å³/f.u.: 64
Calculated density, g/cm³: 5.91

=====

Crystalline PmDyPd at its relaxed geometry. Source: Alexandria, functional GGA-PBE.

Lattice parameters (Å, degrees): 3.596 7.229 6.658 105.94 105.68 89.98
Fractional positions:
Pm  0.302  0.484  0.369
Pm  0.576  0.620  0.920
Dy  0.577  0.121  0.920
Dy  0.301  0.983  0.369
Pd  0.941  0.281  0.648
Pd  0.937  0.823  0.641

Results
Magnetization, μB per cell: 0.00
DOS(E_F), states/eV per cell: 6.8
DFT total energy, eV per atom: -5.358
Volume, Å³/f.u.: 80
Calculated density, g/cm³: 8.61

=====

Crystalline Zn2CdSb at its relaxed geometry. Source: Alexandria, functional GGA-PBE.

Lattice parameters (Å, degrees): 4.575 4.308 4.545 80.03 90.00 90.00
Fractional positions:
Cd  0.000  0.471  0.461
Sb  0.500  0.775  0.788
Zn  0.000  0.050  0.020
Zn  0.500  0.204  0.230

Results
Magnetization, μB per cell: 0.00
Uncorrected formation energy, meV per atom: 113
DOS(E_F), states/eV per cell: 1.4
Volume, Å³/f.u.: 88
Calculated density, g/cm³: 6.87

=====

Crystalline RbZrB at its relaxed geometry. Source: Alexandria, functional GGA-PBE.

Lattice parameters (Å, degrees): 17.030 6.151 3.368 90.00 90.00 90.00
Site moments in Bohr magnetons follow the coordinates.
Fractional positions:
B  0.000  0.000  0.000  -0.01
B  0.500  0.500  0.500  -0.01
B  0.500  0.000  0.500  -0.01
B  0.000  0.500  0.000  -0.01
Rb  0.666  0.250  0.969  0.02
Rb  0.834  0.750  0.469  0.02
Rb  0.334  0.750  0.031  0.02
Rb  0.166  0.250  0.531  0.02
Zr  0.457  0.250  0.000  0.11
Zr  0.043  0.750  0.500  0.11
Zr  0.543  0.750  0.000  0.11
Zr  0.957  0.250  0.500  0.11

Results
Magnetization, μB per cell: 1.69
DOS(E_F), states/eV per cell: 6.8
DFT total energy, eV per atom: -4.944
Volume, Å³/f.u.: 88
Calculated density, g/cm³: 3.53

=====

Crystalline NdEr4Th2 at its relaxed geometry. Source: Alexandria, functional GGA-PBE.

Lattice parameters (Å, degrees): 3.476 8.502 8.938 120.16 81.98 98.84
Fractional positions:
Nd  0.000  0.000  0.000
Er  0.353  0.721  0.574
Er  0.957  0.167  0.715
Er  0.647  0.279  0.426
Er  0.043  0.833  0.285
Th  0.411  0.418  0.135
Th  0.589  0.582  0.865

Results
Magnetization, μB per cell: 0.00
DOS(E_F), states/eV per cell: 11.8
DFT total energy, eV per atom: -5.285
Volume, Å³/f.u.: 225
Calculated density, g/cm³: 9.42